Record 1
Below is a relaxed Li2TiCdF8 crystal, with properties calculated at the PBE level.

Structure (POSCAR):
```
Li2TiCdF8
1.0
4.740 0.035 0.000
0.069 4.737 -0.002
0.008 0.011 6.738
Li Ti Cd F
2 1 1 8
direct
0.499 0.499 0.728
0.501 0.501 0.272
0.000 0.000 0.000
0.000 0.000 0.500
0.198 0.800 0.206
0.724 0.726 0.001
0.802 0.200 0.206
0.802 0.200 0.794
0.276 0.274 0.999
0.198 0.800 0.794
0.687 0.689 0.500
0.313 0.311 0.500
```

Output
SG ... P-1 (2)
V ... 151.3 Å³ per cell
Formation energy without anion corrections ... -2934 meV per atom


Record 2
Below is a relaxed LiTiCdF6 crystal, with properties calculated at the PBE level.

Structure (POSCAR):
```
LiTiCdF6
1.0
5.246 0.000 0.000
-2.623 4.543 0.000
0.000 0.000 9.801
Li Ti Cd F
2 2 2 12
direct
0.333 0.667 0.250
0.667 0.333 0.750
0.667 0.333 0.250
0.333 0.667 0.750
0.000 0.000 0.000
0.000 0.000 0.500
0.651 0.640 0.137
0.989 0.349 0.137
0.349 0.989 0.637
0.011 0.651 0.863
0.360 0.349 0.363
0.989 0.640 0.363
0.640 0.989 0.863
0.651 0.011 0.363
0.011 0.360 0.637
0.360 0.011 0.137
0.640 0.651 0.637
0.349 0.360 0.863
```

Output
SG ... P-31c (163)
V ... 233.6 Å³ per cell
Formation energy without anion corrections ... -2859 meV per atom


Record 3
Below is a relaxed LiTlCd2F8 crystal, with properties calculated at the PBE level.

Structure (POSCAR):
```
LiTlCd2F8
1.0
-3.271 -1.316 2.477
0.014 -4.566 -2.838
4.675 -2.498 5.007
Li Tl Cd F
1 1 2 8
direct
0.000 0.000 0.000
0.000 0.000 0.500
0.442 0.507 0.765
0.558 0.493 0.235
0.082 0.688 0.287
0.639 0.744 0.006
0.893 0.169 0.243
0.918 0.312 0.713
0.361 0.256 0.994
0.107 0.831 0.757
0.576 0.750 0.514
0.424 0.250 0.486
```

Output
SG ... P-1 (2)
V ... 168.3 Å³ per cell
Formation energy without anion corrections ... -2166 meV per atom


Record 4
Below is a relaxed LiTlCdF2 crystal, with properties calculated at the PBE level.

Structure (POSCAR):
```
LiTlCdF2
1.0
-3.064 3.090 -0.310
-2.520 -2.961 -4.612
-2.515 -2.213 2.795
Tl F Li Cd
1 2 1 1
direct
0.500 0.500 0.500
0.000 0.000 0.500
0.500 0.000 0.000
0.000 0.500 0.000
0.000 0.000 0.000
```

Output
SG ... P4/mmm (123)
V ... 114.8 Å³ per cell
Formation energy without anion corrections ... -1059 meV per atom


Record 5
Below is a relaxed LiTl2CdF6 crystal, with properties calculated at the PBE level.

Structure (POSCAR):
```
LiTl2CdF6
1.0
6.129 -0.034 0.017
-0.038 5.921 -0.034
-3.038 -2.970 4.277
Li Tl Cd F
1 2 1 6
direct
0.012 0.008 0.004
0.779 0.279 0.563
0.258 0.749 0.501
0.500 0.502 0.001
0.763 0.884 0.135
0.710 0.663 0.508
0.176 0.177 0.871
0.787 0.270 0.971
0.335 0.271 0.481
0.179 0.700 0.964
```

Output
SG ... P1 (1)
V ... 154.9 Å³ per cell
Formation energy without anion corrections ... -2070 meV per atom


Record 6
Below is a relaxed LiTmCdF6 crystal, with properties calculated at the PBE level.

Structure (POSCAR):
```
LiTmCdF6
1.0
5.045 0.000 0.000
0.000 5.045 0.000
0.000 0.000 10.144
Li Tm Cd F
2 2 2 12
direct
0.500 0.500 0.170
0.000 0.000 0.670
0.500 0.500 0.832
0.000 0.000 0.332
0.500 0.500 0.500
0.000 0.000 0.000
0.187 0.813 0.499
0.813 0.187 0.499
0.313 0.313 0.999
0.687 0.687 0.999
0.204 0.796 0.175
0.796 0.204 0.175
0.296 0.296 0.675
0.704 0.704 0.675
0.802 0.198 0.825
0.198 0.802 0.825
0.698 0.698 0.325
0.302 0.302 0.325
```

Output
SG ... P4_2nm (102)
V ... 258.1 Å³ per cell
Formation energy without anion corrections ... -3211 meV per atom


Please write out number 6 again, unchanged.
Below is a relaxed LiTmCdF6 crystal, with properties calculated at the PBE level.

Structure (POSCAR):
```
LiTmCdF6
1.0
5.045 0.000 0.000
0.000 5.045 0.000
0.000 0.000 10.144
Li Tm Cd F
2 2 2 12
direct
0.500 0.500 0.170
0.000 0.000 0.670
0.500 0.500 0.832
0.000 0.000 0.332
0.500 0.500 0.500
0.000 0.000 0.000
0.187 0.813 0.499
0.813 0.187 0.499
0.313 0.313 0.999
0.687 0.687 0.999
0.204 0.796 0.175
0.796 0.204 0.175
0.296 0.296 0.675
0.704 0.704 0.675
0.802 0.198 0.825
0.198 0.802 0.825
0.698 0.698 0.325
0.302 0.302 0.325
```

Output
SG ... P4_2nm (102)
V ... 258.1 Å³ per cell
Formation energy without anion corrections ... -3211 meV per atom


Q: The lowest formation energy without anion corrections belongs to which entry?
A: LiTmCdF6


Q: Which formula does entry 1 have?
A: Li2TiCdF8